The following is a DFT calculation (PBE) of a relaxed structure of KYSn.

The space group is F-43m (No. 216) and the conventional cell measures 7.510, 7.510 and 7.510 Å, with angles of 90.00, 90.00 and 90.00 degrees. The distinct sites, in fractional coordinates, are K at (0.000, 0.000, 0.000), Y at (0.250, 0.250, 0.250) and Sn at (0.000, 0.000, 0.500).

The relative energy among the computed polymorphs is 481 meV per atom. The mass density is 3.87 g/cm3. The total magnetization comes out at 0.00 Bohr magnetons per cell. The value obtained for the density of states at the Fermi level is 0.00 states/eV per atom. The formation energy is 85 meV per atom.

***

The following is a DFT calculation (PBE) of a relaxed structure of Rb3Tb3NpS8.

The space group is R-3m (No. 166, hexagonal axes) and the conventional cell measures 8.1254, 8.1254 and 23.4417 Å, with angles of 90.00, 90.00 and 120.00 degrees. The distinct sites, in fractional coordinates, are Rb at (0.0000, 0.5000, 0.0000), Tb at (0.0000, 0.5000, 0.5000), Np at (0.0000, 0.0000, 0.5000), S at (0.0000, 0.0000, 0.2303) and S at (0.0069, 0.5034, 0.2287).

The mass density is 4.56 g/cm3. The total magnetization comes out at 9.00 Bohr magnetons per cell. The value obtained for the density of states at the Fermi level is 0.27 states/eV per atom. The formation energy from raw total energies comes out at -1749 meV per atom.

***

The following is a DFT calculation (PBE) of a relaxed structure of TaRu2Pb.

The space group is F-43m (No. 216) and the conventional cell measures 6.527, 6.527 and 6.527 Å, with angles of 90.00, 90.00 and 90.00 degrees. The distinct sites, in fractional coordinates, are Ta at (0.000, 0.000, 0.000), Ru at (0.000, 0.000, 0.500), Ru at (0.250, 0.250, 0.250) and Pb at (0.250, 0.250, 0.750).

The mass density is 14.10 g/cm3. The total magnetization comes out at 6.58 Bohr magnetons per cell. The value obtained for the density of states at the Fermi level is 1.08 states/eV per atom. The formation energy is 563 meV per atom.

***

The following is a DFT calculation (PBE) of a relaxed structure of CaNdAu4.

The space group is F-43m (No. 216) and the conventional cell measures 8.103, 8.103 and 8.103 Å, with angles of 90.00, 90.00 and 90.00 degrees. The distinct sites, in fractional coordinates, are Ca at (0.000, 0.000, 0.000), Nd at (0.250, 0.250, 0.750) and Au at (0.126, 0.126, 0.374).

The relative energy among the computed polymorphs is 173 meV per atom. The mass density is 12.14 g/cm3. The total magnetization comes out at 0.00 Bohr magnetons per cell. The value obtained for the density of states at the Fermi level is 1.23 states/eV per atom. The formation energy is -559 meV per atom.

***

The following is a DFT calculation (PBE) of a relaxed structure of Sc2CuHRh.

The space group is P4/mmm (No. 123) and the conventional cell measures 4.532, 4.532 and 3.426 Å, with angles of 90.00, 90.00 and 90.00 degrees. The distinct sites, in fractional coordinates, are Sc at (0.000, 0.500, 0.000), Cu at (0.000, 0.000, 0.500), H at (0.000, 0.000, 0.000) and Rh at (0.500, 0.500, 0.500).

The relative energy among the computed polymorphs is 0 meV per atom. The mass density is 6.07 g/cm3. The total magnetization comes out at 0.00 Bohr magnetons per cell. The value obtained for the density of states at the Fermi level is 0.58 states/eV per atom.

***

The following is a DFT calculation (PBE) of a relaxed structure of AlOsO3.

The space group is Pm-3m (No. 221) and the conventional cell measures 3.891, 3.891 and 3.891 Å, with angles of 90.00, 90.00 and 90.00 degrees. The distinct sites, in fractional coordinates, are Al at (0.000, 0.000, 0.000), Os at (0.500, 0.500, 0.500) and O at (0.000, 0.500, 0.500).

The mass density is 7.47 g/cm3. The total magnetization comes out at 0.00 Bohr magnetons per cell. The value obtained for the density of states at the Fermi level is 0.60 states/eV per atom. The formation energy from raw total energies comes out at -594 meV per atom.

***

The following is a DFT calculation (PBE) of a relaxed structure of Li3TbPa2Te6.

The space group is C2/m (No. 12) and the conventional cell measures 7.394, 12.808 and 7.650 Å, with angles of 90.00, 108.79 and 90.00 degrees. The distinct sites, in fractional coordinates, are Li at (0.000, 0.000, 0.000), Li at (0.000, 0.335, 0.000), Tb at (0.000, 0.500, 0.500), Pa at (0.000, 0.167, 0.500), Te at (0.245, 0.500, 0.238) and Te at (0.246, 0.166, 0.238).

The mass density is 6.82 g/cm3. The total magnetization comes out at 7.29 Bohr magnetons per cell. The value obtained for the density of states at the Fermi level is 0.99 states/eV per atom. The formation energy from raw total energies comes out at -980 meV per atom.

***

The following is a DFT calculation (PBE) of a relaxed structure of Pr2ScS3.

The space group is Immm (No. 71) and the conventional cell measures 3.840, 4.750 and 15.344 Å, with angles of 90.00, 90.00 and 90.00 degrees. The distinct sites, in fractional coordinates, are Pr at (0.000, 0.000, 0.145), Sc at (0.000, 0.000, 0.500), S at (0.000, 0.000, 0.332) and S at (0.000, 0.500, 0.500).

The relative energy among the computed polymorphs is 152 meV per atom. The mass density is 5.02 g/cm3. The total magnetization comes out at 0.00 Bohr magnetons per cell. The value obtained for the density of states at the Fermi level is 0.48 states/eV per atom. The formation energy from raw total energies comes out at -1790 meV per atom.